1.
Ca3SiO5: relaxed, PBEsol.

Values from the calculation:
- energy (eV for the cell shown) = -197.07
- SG = Cm (8)
- distance to the lowest polymorph of the same formula (eV per atom) = 0.0000

Structure (POSCAR):
```
Ca3SiO5
1.0
6.092 -3.534 0.000
6.092 3.534 0.000
-4.036 0.000 8.248
Ca Si O
9 3 15
direct
0.000 0.000 0.000
0.012 0.517 0.958
0.030 0.553 0.597
0.269 0.746 0.308
0.517 0.012 0.958
0.553 0.030 0.597
0.585 0.585 0.649
0.733 0.733 0.266
0.746 0.269 0.308
0.055 0.055 0.649
0.276 0.276 0.311
0.478 0.478 0.943
0.004 0.380 0.292
0.109 0.109 0.849
0.283 0.664 0.042
0.295 0.915 0.595
0.335 0.335 0.181
0.349 0.349 0.778
0.380 0.004 0.292
0.384 0.384 0.497
0.608 0.608 0.924
0.638 0.638 0.435
0.664 0.283 0.042
0.799 0.799 0.804
0.881 0.881 0.172
0.904 0.904 0.550
0.915 0.295 0.595
```

---

2.
CaSiSnO5: relaxed, PBEsol.

Values from the calculation:
- energy (eV for the cell shown) = -117.47
- SG = P-1 (2)

Structure (POSCAR):
```
CaSiSnO5
1.0
5.510 0.000 0.000
-1.595 5.380 0.000
-1.602 -2.318 6.614
Ca Si Sn O
2 2 2 10
direct
0.150 0.329 0.285
0.850 0.671 0.715
0.187 0.322 0.750
0.813 0.678 0.250
0.500 0.000 0.000
0.500 0.000 0.500
0.097 0.749 0.428
0.183 0.108 0.870
0.231 0.613 0.901
0.401 0.082 0.250
0.414 0.333 0.632
0.586 0.667 0.368
0.599 0.918 0.750
0.769 0.387 0.099
0.817 0.892 0.130
0.903 0.251 0.572
```

---

3.
Ca3Si2SnO9: relaxed, PBEsol.

Values from the calculation:
- energy (eV for the cell shown) = -446.53
- SG = P2_1/c (14)

Structure (POSCAR):
```
Ca3Si2SnO9
1.0
7.338 0.000 0.000
0.000 10.074 0.000
-0.215 0.000 10.405
Ca Si Sn O
12 8 4 36
direct
0.118 0.165 0.084
0.118 0.335 0.584
0.363 0.080 0.390
0.363 0.420 0.890
0.373 0.696 0.403
0.373 0.804 0.903
0.627 0.196 0.097
0.627 0.304 0.597
0.637 0.580 0.110
0.637 0.920 0.610
0.882 0.665 0.416
0.882 0.835 0.916
0.167 0.625 0.684
0.167 0.875 0.184
0.400 0.137 0.805
0.400 0.363 0.305
0.600 0.637 0.695
0.600 0.863 0.195
0.833 0.125 0.816
0.833 0.375 0.316
0.120 0.560 0.117
0.120 0.940 0.617
0.880 0.060 0.383
0.880 0.440 0.883
0.085 0.004 0.259
0.085 0.496 0.759
0.091 0.117 0.509
0.091 0.383 0.009
0.102 0.731 0.239
0.102 0.769 0.739
0.146 0.607 0.531
0.146 0.893 0.031
0.303 0.502 0.263
0.303 0.998 0.763
0.341 0.610 0.017
0.341 0.890 0.517
0.353 0.232 0.220
0.353 0.268 0.720
0.380 0.170 0.956
0.380 0.330 0.456
0.384 0.608 0.732
0.384 0.892 0.232
0.616 0.108 0.768
0.616 0.392 0.268
0.620 0.670 0.544
0.620 0.830 0.044
0.647 0.732 0.280
0.647 0.768 0.780
0.659 0.110 0.483
0.659 0.390 0.983
0.697 0.002 0.237
0.697 0.498 0.737
0.854 0.107 0.969
0.854 0.393 0.469
0.898 0.231 0.261
0.898 0.269 0.761
0.909 0.617 0.991
0.909 0.883 0.491
0.915 0.504 0.241
0.915 0.996 0.741
```

---

4.
Ca3Ti2Si4O14: relaxed, PBEsol.

Values from the calculation:
- energy (eV for the cell shown) = -374.76
- SG = C2/c (15)

Structure (POSCAR):
```
Ca3Ti2Si4O14
1.0
8.482 -3.834 0.000
8.482 3.834 0.000
-5.445 0.000 8.336
Ca Ti Si O
6 4 8 28
direct
0.153 0.847 0.750
0.263 0.334 0.534
0.334 0.263 0.034
0.666 0.737 0.966
0.737 0.666 0.466
0.847 0.153 0.250
0.305 0.695 0.250
0.500 0.500 0.000
0.500 0.500 0.500
0.695 0.305 0.750
0.032 0.714 0.354
0.033 0.615 0.849
0.286 0.968 0.146
0.385 0.967 0.651
0.615 0.033 0.349
0.714 0.032 0.854
0.967 0.385 0.151
0.968 0.286 0.646
0.001 0.445 0.821
0.028 0.609 0.683
0.042 0.854 0.314
0.146 0.958 0.186
0.163 0.173 0.088
0.173 0.163 0.588
0.210 0.615 0.501
0.230 0.571 0.998
0.385 0.790 0.999
0.391 0.972 0.817
0.399 0.450 0.270
0.429 0.770 0.502
0.445 0.001 0.321
0.450 0.399 0.770
0.550 0.601 0.230
0.555 0.999 0.679
0.571 0.230 0.498
0.601 0.550 0.730
0.609 0.028 0.183
0.615 0.210 0.001
0.770 0.429 0.002
0.790 0.385 0.499
0.827 0.837 0.412
0.837 0.827 0.912
0.854 0.042 0.814
0.958 0.146 0.686
0.972 0.391 0.317
0.999 0.555 0.179
```

---

5.
CaTiSi2O: relaxed, PBEsol.

Values from the calculation:
- energy (eV for the cell shown) = -23.58
- SG = P4/mmm (123)

Structure (POSCAR):
```
CaTiSi2O
1.0
4.571 0.000 0.000
0.000 4.571 0.000
0.000 0.000 6.085
Ca Ti Si O
1 1 2 1
direct
0.000 0.000 0.000
0.000 0.000 0.500
0.000 0.500 0.500
0.500 0.000 0.500
0.500 0.500 0.000
```

---

6.
CaVSiO5: relaxed, PBEsol.

Values from the calculation:
- energy (eV for the cell shown) = -132.52
- SG = C2/c (15)

Structure (POSCAR):
```
CaVSiO5
1.0
3.261 -4.313 0.000
3.261 4.313 0.000
-2.814 0.000 6.347
Ca V Si O
2 2 2 10
direct
0.172 0.828 0.750
0.828 0.172 0.250
0.500 0.500 0.000
0.500 0.500 0.500
0.182 0.818 0.250
0.818 0.182 0.750
0.124 0.251 0.912
0.186 0.610 0.388
0.251 0.124 0.412
0.390 0.814 0.112
0.440 0.560 0.750
0.560 0.440 0.250
0.610 0.186 0.888
0.749 0.876 0.588
0.814 0.390 0.612
0.876 0.749 0.088
```

---

7.
CaVSi2O6: relaxed, PBEsol.

Values from the calculation:
- energy (eV for the cell shown) = -163.09
- SG = C2/c (15)

Structure (POSCAR):
```
CaVSi2O6
1.0
4.941 -4.494 0.000
4.941 4.494 0.000
-1.406 0.000 5.061
Ca V Si O
2 2 4 12
direct
0.207 0.793 0.750
0.793 0.207 0.250
0.407 0.593 0.250
0.593 0.407 0.750
0.119 0.303 0.769
0.303 0.119 0.269
0.697 0.881 0.731
0.881 0.697 0.231
0.111 0.611 0.321
0.128 0.166 0.005
0.166 0.128 0.505
0.295 0.467 0.852
0.389 0.889 0.179
0.467 0.295 0.352
0.533 0.705 0.648
0.611 0.111 0.821
0.705 0.533 0.148
0.834 0.872 0.495
0.872 0.834 0.995
0.889 0.389 0.679
```

---

8.
CaSi4WO10: relaxed, PBEsol.

Values from the calculation:
- energy (eV for the cell shown) = -522.83
- SG = P4/ncc (130)

Structure (POSCAR):
```
CaSi4WO10
1.0
7.473 0.000 0.000
0.000 7.473 0.000
0.000 0.000 15.328
Ca Si W O
4 16 4 40
direct
0.250 0.750 0.000
0.250 0.750 0.500
0.750 0.250 0.000
0.750 0.250 0.500
0.002 0.084 0.149
0.002 0.416 0.649
0.084 0.002 0.649
0.084 0.498 0.149
0.416 0.002 0.149
0.416 0.498 0.649
0.498 0.084 0.649
0.498 0.416 0.149
0.502 0.584 0.851
0.502 0.916 0.351
0.584 0.502 0.351
0.584 0.998 0.851
0.916 0.502 0.851
0.916 0.998 0.351
0.998 0.584 0.351
0.998 0.916 0.851
0.250 0.250 0.419
0.250 0.250 0.919
0.750 0.750 0.081
0.750 0.750 0.581
0.001 0.200 0.629
0.001 0.300 0.129
0.008 0.645 0.081
0.008 0.855 0.581
0.048 0.548 0.250
0.048 0.952 0.750
0.145 0.508 0.419
0.145 0.992 0.919
0.200 0.001 0.129
0.200 0.499 0.629
0.300 0.001 0.629
0.300 0.499 0.129
0.355 0.508 0.919
0.355 0.992 0.419
0.452 0.548 0.750
0.452 0.952 0.250
0.492 0.645 0.581
0.492 0.855 0.081
0.499 0.200 0.129
0.499 0.300 0.629
0.501 0.700 0.371
0.501 0.800 0.871
0.508 0.145 0.919
0.508 0.355 0.419
0.548 0.048 0.750
0.548 0.452 0.250
0.645 0.008 0.581
0.645 0.492 0.081
0.700 0.501 0.871
0.700 0.999 0.371
0.800 0.501 0.371
0.800 0.999 0.871
0.855 0.008 0.081
0.855 0.492 0.581
0.952 0.048 0.250
0.952 0.452 0.750
0.992 0.145 0.419
0.992 0.355 0.919
0.999 0.700 0.871
0.999 0.800 0.371
```

---

9.
CaZnSi3O8: relaxed, PBEsol.

Values from the calculation:
- energy (eV for the cell shown) = -195.95
- SG = P-1 (2)

Structure (POSCAR):
```
CaZnSi3O8
1.0
7.228 0.000 0.000
-1.336 7.171 0.000
-2.282 -3.963 6.548
Ca Zn Si O
2 2 6 16
direct
0.148 0.276 0.229
0.852 0.724 0.771
0.208 0.825 0.188
0.792 0.175 0.812
0.247 0.166 0.827
0.308 0.581 0.804
0.367 0.775 0.553
0.633 0.225 0.447
0.692 0.419 0.196
0.753 0.834 0.173
0.047 0.095 0.870
0.175 0.711 0.904
0.229 0.327 0.738
0.263 0.654 0.307
0.273 0.958 0.661
0.280 0.567 0.585
0.384 0.132 0.339
0.444 0.299 0.051
0.556 0.701 0.949
0.616 0.868 0.661
0.720 0.433 0.415
0.727 0.042 0.339
0.737 0.346 0.693
0.771 0.673 0.262
0.825 0.289 0.096
0.953 0.905 0.130
```

---

10.
Ca2Sn3O8: relaxed, PBEsol.

Values from the calculation:
- energy (eV for the cell shown) = -172.76
- SG = P6_3mc (186)
- distance to the lowest polymorph of the same formula (eV per atom) = 0.0585

Structure (POSCAR):
```
Ca2Sn3O8
1.0
6.405 0.000 0.000
-3.203 5.547 0.000
0.000 0.000 10.402
Ca Sn O
4 6 16
direct
0.333 0.667 0.000
0.333 0.667 0.382
0.667 0.333 0.500
0.667 0.333 0.882
0.164 0.329 0.667
0.164 0.836 0.667
0.329 0.164 0.167
0.671 0.836 0.667
0.836 0.164 0.167
0.836 0.671 0.167
0.000 0.000 0.062
0.000 0.000 0.562
0.047 0.524 0.556
0.162 0.324 0.261
0.162 0.838 0.261
0.324 0.162 0.761
0.333 0.667 0.776
0.476 0.524 0.556
0.476 0.953 0.556
0.524 0.047 0.056
0.524 0.476 0.056
0.667 0.333 0.276
0.676 0.838 0.261
0.838 0.162 0.761
0.838 0.676 0.761
0.953 0.476 0.056
```

---

11.
Ca2Sn3O8: relaxed, PBEsol.

Values from the calculation:
- energy (eV for the cell shown) = -87.14
- SG = C2/m (12)
- distance to the lowest polymorph of the same formula (eV per atom) = 0.0000

Structure (POSCAR):
```
Ca2Sn3O8
1.0
5.669 -3.177 0.000
5.669 3.177 0.000
-1.879 0.000 5.003
Ca Sn O
2 3 8
direct
0.220 0.220 0.154
0.780 0.780 0.846
0.238 0.762 0.500
0.500 0.500 0.000
0.762 0.238 0.500
0.109 0.109 0.441
0.169 0.610 0.102
0.390 0.831 0.898
0.397 0.397 0.586
0.603 0.603 0.414
0.610 0.169 0.102
0.831 0.390 0.898
0.891 0.891 0.559
```

---

12.
SrCa3Sn4O12: relaxed, PBEsol.

Values from the calculation:
- energy (eV for the cell shown) = -134.12
- SG = Pm (6)

Structure (POSCAR):
```
SrCa3Sn4O12
1.0
5.561 0.000 0.000
0.000 7.957 0.000
-0.009 0.000 5.709
Sr Ca Sn O
1 3 4 12
direct
0.000 0.000 0.000
0.471 0.000 0.491
0.501 0.500 0.592
0.975 0.500 0.100
0.488 0.253 0.043
0.488 0.747 0.043
0.989 0.252 0.546
0.989 0.748 0.546
0.093 0.500 0.507
0.194 0.206 0.253
0.194 0.794 0.253
0.294 0.198 0.742
0.294 0.802 0.742
0.383 0.500 0.998
0.570 0.000 0.084
0.692 0.308 0.338
0.692 0.692 0.338
0.792 0.304 0.843
0.792 0.696 0.843
0.885 0.000 0.564
```

---

Please write out number 12 again, unchanged.
SrCa3Sn4O12: relaxed, PBEsol.

Values from the calculation:
- energy (eV for the cell shown) = -134.12
- SG = Pm (6)

Structure (POSCAR):
```
SrCa3Sn4O12
1.0
5.561 0.000 0.000
0.000 7.957 0.000
-0.009 0.000 5.709
Sr Ca Sn O
1 3 4 12
direct
0.000 0.000 0.000
0.471 0.000 0.491
0.501 0.500 0.592
0.975 0.500 0.100
0.488 0.253 0.043
0.488 0.747 0.043
0.989 0.252 0.546
0.989 0.748 0.546
0.093 0.500 0.507
0.194 0.206 0.253
0.194 0.794 0.253
0.294 0.198 0.742
0.294 0.802 0.742
0.383 0.500 0.998
0.570 0.000 0.084
0.692 0.308 0.338
0.692 0.692 0.338
0.792 0.304 0.843
0.792 0.696 0.843
0.885 0.000 0.564
```